Compound: NiSb2Ru
Source: Alexandria
Functional: PBE
Structure: relaxed Values from VASP.

Quantum ESPRESSO input file:
```
&SYSTEM
  ibrav = 0, nat = 4, ntyp = 3
/
ATOMIC_SPECIES
Ni 58.69 Ni.upf
Ru 101.07 Ru.upf
Sb 121.76 Sb.upf
CELL_PARAMETERS angstrom
-2.097 -3.515 2.310
1.085 -4.458 -1.018
2.447 -2.583 3.071
ATOMIC_POSITIONS crystal
Ni 0.500 0.500 0.500
Ru 0.750 0.750 0.750
Sb 0.000 0.000 0.000
Sb 0.250 0.250 0.250
```

Computed properties:
Energy above the lowest structure with this stoichiometry ... 0.646 eV/atom
Formation energy without anion corrections ... 2.4 eV/f.u.
Space group ... F-43m, No. 216

***

Compound: CdFeSn2Ge
Source: Alexandria
Functional: PBE
Structure: relaxed Values from VASP.

Quantum ESPRESSO input file:
```
&SYSTEM
  ibrav = 0, nat = 5, ntyp = 4
/
ATOMIC_SPECIES
Fe 55.84 Fe.upf
Ge 72.64 Ge.upf
Sn 118.71 Sn.upf
Cd 112.41 Cd.upf
CELL_PARAMETERS angstrom
5.075 0.000 0.000
0.000 5.075 0.000
0.000 0.000 4.540
ATOMIC_POSITIONS crystal
Fe 0.000 0.000 0.000
Ge 0.000 0.000 0.500
Sn 0.000 0.500 0.000
Sn 0.500 0.000 0.000
Cd 0.500 0.500 0.500
```

Computed properties:
Space group ... P4/mmm, No. 123
Formation energy ... 0.15 eV per atom

***

Compound: HfReSeN2
Source: Alexandria
Functional: PBE
Structure: relaxed Values from VASP.

Quantum ESPRESSO input file:
```
&SYSTEM
  ibrav = 0, nat = 5, ntyp = 4
/
ATOMIC_SPECIES
Re 186.21 Re.upf
Hf 178.49 Hf.upf
Se 78.96 Se.upf
N 14.01 N.upf
CELL_PARAMETERS angstrom
-0.051 -2.816 -2.925
2.821 -2.129 2.000
-3.984 -2.738 2.705
ATOMIC_POSITIONS crystal
Re 0.500 0.500 0.500
Hf 0.000 0.000 0.000
Se 0.000 0.000 0.500
N 0.000 0.500 0.000
N 0.500 0.000 0.000
```

Computed properties:
Energy above the lowest structure with this stoichiometry ... 0.692 eV/atom
Formation energy without anion corrections ... 5.1 eV/f.u.
Space group ... P4/mmm, No. 123